(1)
# SnSb2TeAs | Alexandria | GGA-PBEsol | optimized geometry
# Formation energy without anion corrections: 48.81 kJ/mol of atoms
# Magnetic moment: 0.001 μB/f.u.
data_SnSb2TeAs
_cell_length_a 5.3471
_cell_length_b 5.3471
_cell_length_c 5.2747
_cell_angle_alpha 90.00
_cell_angle_beta 90.00
_cell_angle_gamma 90.00
_space_group_name_H-M_alt 'P 4/m m m'
_space_group_IT_number 123
_space_group_name_Hall '-P 4 2'
loop_
_atom_site_label
_atom_site_fract_x
_atom_site_fract_y
_atom_site_fract_z
_atom_site_occupancy
Sn1 0.0000 0.0000 0.0000 1
Sb1 0.0000 0.5000 0.5000 1
Te1 0.5000 0.5000 0.0000 1
As1 0.5000 0.5000 0.5000 1

***

(2)
# SnSbAs2W | Alexandria | GGA-PBEsol | optimized geometry
# Formation energy without anion corrections: 54.26 kJ/mol of atoms
# Magnetic moment: 0.003 μB/f.u.
data_SnSbAs2W
_cell_length_a 4.7675
_cell_length_b 4.7675
_cell_length_c 5.4654
_cell_angle_alpha 90.00
_cell_angle_beta 90.00
_cell_angle_gamma 90.00
_space_group_name_H-M_alt 'P 4/m m m'
_space_group_IT_number 123
_space_group_name_Hall '-P 4 2'
loop_
_atom_site_label
_atom_site_fract_x
_atom_site_fract_y
_atom_site_fract_z
_atom_site_occupancy
Sn1 0.0000 0.0000 0.0000 1
Sb1 0.5000 0.5000 0.0000 1
As1 0.0000 0.5000 0.5000 1
W1 0.0000 0.0000 0.5000 1

***

(3)
# SrSb3As | Alexandria | GGA-PBEsol | optimized geometry
# Formation energy without anion corrections: 119.73 kJ/mol of atoms
# Energy above the most stable polymorph in this dataset: 1226.6 meV per atom
# Magnetic moment: 0.001 μB/f.u.
data_SrSb3As
_cell_length_a 5.7850
_cell_length_b 5.7850
_cell_length_c 5.7850
_cell_angle_alpha 90.00
_cell_angle_beta 90.00
_cell_angle_gamma 90.00
_space_group_name_H-M_alt 'P m -3 m'
_space_group_IT_number 221
_space_group_name_Hall '-P 4 2 3'
loop_
_atom_site_label
_atom_site_fract_x
_atom_site_fract_y
_atom_site_fract_z
_atom_site_occupancy
Sr1 0.0000 0.0000 0.0000 1
Sb1 0.0000 0.0000 0.5000 1
As1 0.5000 0.5000 0.5000 1